Record 1
## Sm6Te3Se2S (GGA-PBE)

Data for a relaxed structure of Sm6Te3Se2S.

Lattice parameters (Å, degrees): 7.375 7.375 7.515 99.37 99.37 120.09
Fractional coordinates of all 12 atoms:
Sm: 0.244 0.244 0.784
Sm: 0.614 0.930 0.789
Se: 0.666 0.334 0.000
Se: 0.334 0.666 0.000
Te: 0.828 0.172 0.500
Sm: 0.756 0.756 0.216
Sm: 0.930 0.614 0.789
Te: 0.500 0.500 0.500
Te: 0.172 0.828 0.500
Sm: 0.386 0.070 0.211
Sm: 0.070 0.386 0.211
S: 0.000 0.000 0.000

Crystal system: monoclinic
Formation energy (no corrections), eV per atom: -1.654

=====

Record 2
## Rb2LiTcPd (GGA-PBE)

Data for a relaxed structure of Rb2LiTcPd.

Lattice parameters (Å, degrees): 6.631 4.874 6.631 90.00 90.00 90.00
Each line ends with the local moment (μB).
Fractional coordinates of all 5 atoms:
Tc: 0.000 0.000 0.000  2.87
Rb: 0.500 0.000 0.000  0.03
Pd: 0.500 0.500 0.500  0.09
Li: 0.000 0.500 0.000  -0.01
Rb: 0.000 0.000 0.500  0.02

ΔH_f (0 K), eV per atom: 1.367
Crystal system: tetragonal

=====

Record 3
## Cs2BaAs2O7 (GGA-PBE)

Data for a relaxed structure of Cs2BaAs2O7.

Lattice parameters (Å, degrees): 6.417 6.417 8.606 68.11 68.11 60.00
Fractional coordinates of all 12 atoms:
O: 0.771 0.744 0.282
O: 0.256 0.229 0.718
O: 0.229 0.797 0.718
O: 0.000 0.000 0.000
Cs: 0.283 0.283 0.151
O: 0.797 0.256 0.718
O: 0.744 0.203 0.282
Ba: 0.500 0.500 0.500
As: 0.077 0.077 0.770
Cs: 0.717 0.717 0.849
As: 0.923 0.923 0.230
O: 0.203 0.771 0.282

Crystal system: trigonal
Formation energy (no corrections), eV per atom: -1.813

=====

Record 4
## Pr6Ge2Te3As (GGA-PBE)

Data for a relaxed structure of Pr6Ge2Te3As.

Lattice parameters (Å, degrees): 4.409 8.965 9.982 104.17 102.76 90.00
Fractional coordinates of all 12 atoms:
Pr: 0.007 0.237 0.014
Te: 0.834 0.166 0.668
Pr: 0.338 0.901 0.676
Pr: 0.993 0.763 0.986
Te: 0.166 0.834 0.332
Ge: 0.166 0.332 0.333
Pr: 0.662 0.099 0.324
Pr: 0.672 0.569 0.344
Ge: 0.834 0.668 0.667
As: 0.500 0.000 0.000
Te: 0.500 0.500 0.000
Pr: 0.328 0.431 0.656

Crystal system: monoclinic
Formation energy (no corrections), eV per atom: -1.339

=====

Record 5
## Nd10Ga3Te3 (GGA-PBE)

Data for a relaxed structure of Nd10Ga3Te3.

Lattice parameters (Å, degrees): 6.561 9.170 9.170 120.00 90.00 90.00
Fractional coordinates of all 16 atoms:
Te: 0.000 0.389 0.389
Nd: 0.745 0.333 0.667
Te: 0.000 0.611 0.000
Ga: 0.500 0.610 0.610
Te: 0.000 0.000 0.611
Ga: 0.500 0.390 0.000
Nd: 0.000 0.000 0.246
Nd: 0.000 0.246 0.000
Nd: 0.000 0.754 0.754
Nd: 0.500 0.000 0.756
Nd: 0.745 0.667 0.333
Nd: 0.255 0.667 0.333
Nd: 0.500 0.756 0.000
Nd: 0.255 0.333 0.667
Nd: 0.500 0.244 0.244
Ga: 0.500 0.000 0.390

Crystal system: hexagonal
Formation energy (no corrections), eV per atom: -0.753

=====

Record 6
## MgFeCo4 (GGA-PBE)

Data for a relaxed structure of MgFeCo4.

Lattice parameters (Å, degrees): 4.730 4.730 4.730 60.00 60.00 60.00
Each line ends with the local moment (μB).
Fractional coordinates of all 6 atoms:
Co: 0.874 0.375 0.375  1.61
Co: 0.375 0.375 0.375  1.61
Co: 0.375 0.375 0.874  1.61
Co: 0.375 0.874 0.375  1.61
Fe: 0.750 0.750 0.750  2.91
Mg: 0.000 0.000 0.000  -0.04

ΔH_f (0 K), eV per atom: 0.051
Crystal system: cubic

=====

Record 7
## Ca4CuPd (GGA-PBE)

Data for a relaxed structure of Ca4CuPd.

Lattice parameters (Å, degrees): 6.696 7.831 8.324 113.82 108.93 99.52
Fractional coordinates of all 12 atoms:
Ca: 0.794 0.696 0.645
Ca: 0.003 0.241 0.880
Ca: 0.377 0.639 0.880
Ca: 0.351 0.949 0.645
Ca: 0.997 0.759 0.120
Pd: 0.752 0.002 0.005
Ca: 0.649 0.051 0.355
Ca: 0.206 0.304 0.355
Ca: 0.623 0.361 0.120
Cu: 0.614 0.364 0.729
Pd: 0.248 0.998 0.995
Cu: 0.386 0.636 0.271

ΔH_f (0 K), eV per atom: -0.295
Relative energy among the computed polymorphs, meV per atom: 0
Crystal system: monoclinic

=====

Record 8
## LaHoH8Ir2 (GGA-PBE)

Data for a relaxed structure of LaHoH8Ir2.

Lattice parameters (Å, degrees): 4.874 4.874 6.821 69.07 69.07 60.00
Fractional coordinates of all 12 atoms:
H: 0.892 0.552 0.174
H: 0.108 0.448 0.826
Ir: 0.266 0.266 0.201
H: 0.180 0.180 0.461
H: 0.448 0.619 0.826
H: 0.381 0.892 0.174
Ir: 0.734 0.734 0.799
H: 0.619 0.108 0.826
La: 0.500 0.500 0.500
Ho: 0.000 0.000 0.000
H: 0.552 0.381 0.174
H: 0.820 0.820 0.539

Crystal system: trigonal

=====

Record 9
## Mn2InAu (GGA-PBE)

Data for a relaxed structure of Mn2InAu.

Lattice parameters (Å, degrees): 4.118 4.119 3.994 90.00 90.00 90.00
Each line ends with the local moment (μB).
Fractional coordinates of all 4 atoms:
Mn: 0.500 0.500 0.000  3.51
Mn: 0.000 0.000 0.000  3.51
Au: 0.500 0.000 0.500  0.01
In: 0.000 0.500 0.500  -0.14

ΔH_f (0 K), eV per atom: 0.088
Crystal system: tetragonal

=====

Record 10
## SmErAs (GGA-PBE)

Data for a relaxed structure of SmErAs.

Lattice parameters (Å, degrees): 6.537 3.984 3.984 120.00 90.00 90.00
Each line ends with the local moment (μB).
Fractional coordinates of all 3 atoms:
As: 0.007 0.000 0.000  0.00
Er: 0.257 0.333 0.667  0.27
Sm: 0.736 0.667 0.333  0.20

ΔH_f (0 K), eV per atom: -0.839
Crystal system: trigonal

=====

Record 11
## Dy2Y5Er2 (GGA-PBE)

Data for a relaxed structure of Dy2Y5Er2.

Lattice parameters (Å, degrees): 11.584 6.849 10.006 110.01 125.37 90.00
Fractional coordinates of all 18 atoms:
Y: 0.599 0.247 0.715
Y: 0.783 0.768 0.108
Dy: 0.268 0.375 0.500
Y: 0.616 0.747 0.715
Dy: 0.000 0.980 0.000
Y: 0.401 0.532 0.285
Y: 0.977 0.649 0.500
Er: 0.883 0.433 0.741
Er: 0.117 0.692 0.259
Y: 0.217 0.660 0.892
Y: 0.384 0.032 0.285
Dy: 0.732 0.875 0.500
Y: 0.825 0.268 0.108
Er: 0.642 0.192 0.259
Y: 0.023 0.149 0.500
Y: 0.175 0.160 0.892
Er: 0.358 0.933 0.741
Dy: 0.500 0.480 0.000

ΔH_f (0 K), eV per atom: 0.243
Relative energy among the computed polymorphs, meV per atom: 221
Crystal system: orthorhombic

=====

Record 12
## Ba3TePb (GGA-PBE)

Data for a relaxed structure of Ba3TePb.

Lattice parameters (Å, degrees): 6.521 6.521 6.521 90.00 90.00 90.00
Fractional coordinates of all 5 atoms:
Ba: 0.000 0.000 0.500
Te: 0.000 0.000 0.000
Pb: 0.500 0.500 0.500
Ba: 0.000 0.500 0.000
Ba: 0.500 0.000 0.000

Relative energy among the computed polymorphs, meV per atom: 0
Crystal system: cubic
Formation energy (no corrections), eV per atom: -0.648

=====

Number 1: calculated volume 334 Å³/f.u., total energy -5.724 eV/atom. Number 2: calculated volume 214 Å³/f.u., total energy -2.515 eV/atom. Number 3: calculated volume 277 Å³/f.u., total energy -5.782 eV/atom. Number 4: calculated volume 372 Å³/f.u., total energy -5.671 eV/atom. Number 5: calculated volume 478 Å³/f.u., total energy -4.890 eV/atom. Number 6: calculated volume 75 Å³/f.u., total energy -6.362 eV/atom. Number 7: calculated volume 177 Å³/f.u., total energy -3.178 eV/atom. Number 8: calculated volume 128 Å³/f.u., total energy -4.806 eV/atom. Number 9: calculated volume 68 Å³/f.u., total energy -6.001 eV/atom. Number 10: calculated volume 90 Å³/f.u., total energy -5.483 eV/atom. Number 11: calculated volume 294 Å³/f.u., total energy -5.384 eV/atom. Number 12: calculated volume 277 Å³/f.u., total energy -3.172 eV/atom.